# 1
{
  "formula": "AsRhAuBr2",
  "functional": "PBE",
  "state": "optimized geometry",
  "n_ef_per_ev_fu": 2.399,
  "formation_energy_uncorrected_ev_per_atom": 0.422,
  "cell": [[5.229, 0.000, 0.000], [0.000, 5.229, 0.000], [0.000, 0.000, 4.613]],
  "species": ["Br", "Au", "Rh", "As", "Br"],
  "fractional_positions": [[0.500, 0.000, 0.000], [0.500, 0.500, 0.500], [0.000, 0.000, 0.000], [0.000, 0.000, 0.500], [0.000, 0.500, 0.000]]
}

=====

# 2
{
  "formula": "PmEuPt",
  "functional": "PBE",
  "state": "optimized geometry",
  "n_ef_per_ev_fu": 2.773,
  "total_energy_ev_per_atom": -7.749,
  "cell": [[5.009, 0.000, 0.000], [2.504, 4.338, 0.000], [2.504, 1.446, 4.090]],
  "species": ["Eu", "Pm", "Pt"],
  "fractional_positions": [[0.000, 0.000, 0.000], [0.500, 0.500, 0.500], [0.250, 0.250, 0.250]]
}

=====

# 3
{
  "formula": "TcHg2Rh",
  "functional": "PBE",
  "state": "optimized geometry",
  "n_ef_per_ev_fu": 3.484,
  "total_energy_ev_per_atom": -4.126,
  "cell": [[5.940, 0.038, 0.003], [3.191, 5.010, -0.003], [-3.887, -3.751, 2.470]],
  "species": ["Tc", "Hg", "Hg", "Rh"],
  "fractional_positions": [[0.727, 0.227, 0.500], [0.982, 0.982, 0.000], [0.267, 0.767, 0.500], [0.524, 0.524, 0.000]]
}